No. 1
ScCo2Sn3 | PBE | relaxed

Unit cell a=6.4425 b=6.4123 c=6.4123 alpha=120.00 beta=90.00 gamma=90.00
Closest atoms and distances in Å follow each position.
Positions (direct):
Sc  0.2996  0.6667  0.3333  3 Co 2.67
Sc  0.7004  0.3333  0.6667  3 Co 2.67
Co  0.0000  0.0000  0.0000  6 Sn 2.64
Co  0.0000  0.5000  0.5000  4 Sn 2.60, 2 Sc 2.67
Co  0.0000  0.5000  0.0000  4 Sn 2.60, 2 Sc 2.67
Co  0.0000  0.0000  0.5000  4 Sn 2.60, 2 Sc 2.67
Sn  0.7133  0.3396  0.1698  3 Co 2.60-2.64
Sn  0.7133  0.8302  0.6604  3 Co 2.60-2.64
Sn  0.7133  0.8302  0.1698  3 Co 2.60-2.64
Sn  0.2867  0.1698  0.8302  3 Co 2.60-2.64
Sn  0.2867  0.6604  0.8302  3 Co 2.60-2.64
Sn  0.2867  0.1698  0.3396  3 Co 2.60-2.64

Summary:
- Energy: -65.5 eV/cell
- DOS at the Fermi energy: 5.2 states/eV/f.u.
- Magnetic moment: 1.10 μB per formula unit
- ΔH_f (0 K): -35 meV/atom



No. 2
ScCoSn3 | PBE | relaxed

Unit cell a=5.4391 b=5.4391 c=5.4391 alpha=90.00 beta=90.00 gamma=90.00
Closest atoms and distances in Å follow each position.
Positions (direct):
Sc  0.0000  0.0000  0.0000  6 Sn 2.72
Co  0.5000  0.5000  0.5000  12 Sn 3.85
Sn  0.0000  0.5000  0.0000  2 Sc 2.72
Sn  0.0000  0.0000  0.5000  2 Sc 2.72
Sn  0.5000  0.0000  0.0000  2 Sc 2.72

Summary:
- Energy: -20.4 eV/cell
- DOS at the Fermi energy: 16.8 states/eV/f.u.
- Magnetic moment: 2.50 μB per formula unit
- ΔH_f (0 K): 1008 meV/atom



No. 3
Sc4CoSn | PBE | relaxed

Unit cell a=5.4944 b=7.4494 c=7.4494 alpha=112.61 beta=101.33 gamma=101.33
Closest atoms and distances in Å follow each position.
Positions (direct):
Sc  0.8582  0.6451  0.7927  2 Co 2.71-2.75
Sc  0.0589  0.9483  0.2723  2 Co 2.57-2.58
Sc  0.6418  0.2073  0.3549  2 Co 2.71-2.75
Sc  0.4411  0.7277  0.0517  2 Co 2.57-2.58
Sc  0.5589  0.2723  0.9483  2 Co 2.57-2.58
Sc  0.3582  0.7927  0.6451  2 Co 2.71-2.75
Sc  0.9411  0.0517  0.7277  2 Co 2.57-2.58
Sc  0.1418  0.3549  0.2073  2 Co 2.71-2.75
Co  0.2500  0.9995  0.0005  8 Sc 2.57-2.75, 2 Co 2.75
Co  0.7500  0.0005  0.9995  8 Sc 2.57-2.75, 2 Co 2.75
Sn  0.7500  0.6299  0.3701  10 Sc 3.04-3.34
Sn  0.2500  0.3701  0.6299  10 Sc 3.04-3.34

Summary:
- Energy: -77.9 eV/cell
- DOS at the Fermi energy: 6.2 states/eV/f.u.
- Magnetic moment: 0.00 μB per formula unit
- Energy above the lowest structure with this stoichiometry: 0.0 meV/atom
- ΔH_f (0 K): -417 meV/atom



No. 4
Sc2Co4Sn3 | PBE | relaxed

Unit cell a=5.6977 b=6.6123 c=8.5035 alpha=90.00 beta=109.57 gamma=90.00
Closest atoms and distances in Å follow each position.
Positions (direct):
Sc  0.0978  0.5838  0.1957  3 Co 2.64-2.83
Sc  0.9022  0.4162  0.8043  3 Co 2.64-2.83
Sc  0.4022  0.0838  0.8043  3 Co 2.64-2.83
Sc  0.5978  0.9162  0.1957  3 Co 2.64-2.83
Co  0.6696  0.7500  0.8392  3 Sn 2.53-2.60, 2 Co 2.59, 2 Sc 2.64
Co  0.8304  0.2500  0.1608  3 Sn 2.53-2.60, 2 Co 2.59, 2 Sc 2.64
Co  0.3304  0.2500  0.1608  3 Sn 2.53-2.60, 2 Co 2.59, 2 Sc 2.64
Co  0.1696  0.7500  0.8392  3 Sn 2.53-2.60, 2 Co 2.59, 2 Sc 2.64
Co  0.1597  0.9853  0.3194  5 Sn 2.56-2.63, 2 Co 2.59, 1 Sc 2.83
Co  0.8403  0.0147  0.6806  5 Sn 2.56-2.63, 2 Co 2.59, 1 Sc 2.83
Co  0.3403  0.4853  0.6806  5 Sn 2.56-2.63, 2 Co 2.59, 1 Sc 2.83
Co  0.6597  0.5147  0.3194  5 Sn 2.56-2.63, 2 Co 2.59, 1 Sc 2.83
Sn  0.0000  0.0000  0.0000  6 Co 2.53-2.56
Sn  0.5000  0.5000  0.0000  6 Co 2.53-2.56
Sn  0.5072  0.7500  0.5145  5 Co 2.60-2.63, 2 Sn 2.85
Sn  0.9928  0.2500  0.4855  5 Co 2.60-2.63, 2 Sn 2.85
Sn  0.4928  0.2500  0.4855  5 Co 2.60-2.63, 2 Sn 2.85
Sn  0.0072  0.7500  0.5145  5 Co 2.60-2.63, 2 Sn 2.85

Summary:
- Energy: -110.4 eV/cell
- DOS at the Fermi energy: 9.2 states/eV/f.u.
- Magnetic moment: 0.00 μB per formula unit
- ΔH_f (0 K): -234 meV/atom



No. 5
ScCoSn4 | PBE | relaxed

Unit cell a=6.4499 b=6.4499 c=7.8182 alpha=114.36 beta=114.36 gamma=90.00
Closest atoms and distances in Å follow each position.
Positions (direct):
Sc  0.5000  0.5000  0.0000  8 Sn 3.04, 2 Co 3.18
Sc  0.0000  0.0000  0.0000  8 Sn 3.04, 2 Co 3.18
Co  0.2500  0.2500  0.5000  8 Sn 2.74
Co  0.7500  0.7500  0.5000  8 Sn 2.74
Sn  0.4799  0.9799  0.2924  2 Co 2.74, 2 Sn 3.03-3.05, 2 Sc 3.04
Sn  0.9799  0.8125  0.2924  2 Co 2.74, 2 Sn 3.03-3.05, 2 Sc 3.04
Sn  0.3125  0.4799  0.2924  2 Co 2.74, 2 Sn 3.03-3.05, 2 Sc 3.04
Sn  0.6875  0.5201  0.7076  2 Co 2.74, 2 Sn 3.03-3.05, 2 Sc 3.04
Sn  0.0201  0.1875  0.7076  2 Co 2.74, 2 Sn 3.03-3.05, 2 Sc 3.04
Sn  0.5201  0.0201  0.7076  2 Co 2.74, 2 Sn 3.03-3.05, 2 Sc 3.04
Sn  0.1875  0.6875  0.7076  2 Co 2.74, 2 Sn 3.03-3.05, 2 Sc 3.04
Sn  0.8125  0.3125  0.2924  2 Co 2.74, 2 Sn 3.03-3.05, 2 Sc 3.04

Summary:
- Energy: -61.5 eV/cell
- DOS at the Fermi energy: 3.0 states/eV/f.u.
- Magnetic moment: 0.00 μB per formula unit
- Energy above the lowest structure with this stoichiometry: 0.0 meV/atom
- ΔH_f (0 K): -218 meV/atom



No. 6
Sc2CoSn2 | PBE | relaxed

Unit cell a=6.7791 b=6.7791 c=4.4869 alpha=90.00 beta=90.00 gamma=90.00
Closest atoms and distances in Å follow each position.
Positions (direct):
Sc  0.1653  0.6653  0.5000  6 Sn 2.86-3.10, 1 Sc 3.17
Sc  0.6653  0.8347  0.5000  6 Sn 2.86-3.10, 1 Sc 3.17
Sc  0.8347  0.3347  0.5000  6 Sn 2.86-3.10, 1 Sc 3.17
Sc  0.3347  0.1653  0.5000  6 Sn 2.86-3.10, 1 Sc 3.17
Co  0.0000  0.0000  0.0000  4 Sn 2.58
Co  0.5000  0.5000  0.0000  4 Sn 2.58
Sn  0.3501  0.8501  0.0000  2 Co 2.58, 2 Sc 2.86, 1 Sn 2.87
Sn  0.8501  0.6499  0.0000  2 Co 2.58, 2 Sc 2.86, 1 Sn 2.87
Sn  0.6499  0.1499  0.0000  2 Co 2.58, 2 Sc 2.86, 1 Sn 2.87
Sn  0.1499  0.3501  0.0000  2 Co 2.58, 2 Sc 2.86, 1 Sn 2.87

Summary:
- Energy: -59.4 eV/cell
- DOS at the Fermi energy: 5.5 states/eV/f.u.
- Magnetic moment: 0.00 μB per formula unit
- ΔH_f (0 K): -390 meV/atom



No. 7
Sc4CoSn | PBE | relaxed

Unit cell a=5.1891 b=7.8019 c=7.2892 alpha=106.01 beta=110.85 gamma=90.00
Closest atoms and distances in Å follow each position.
Positions (direct):
Sc  0.6008  0.0559  0.8450  1 Co 2.29
Sc  0.7558  0.4441  0.1550  1 Co 2.29
Sc  0.3992  0.9441  0.1550  1 Co 2.29
Sc  0.2442  0.5559  0.8450  1 Co 2.29
Sc  0.9668  0.8461  0.5984  2 Co 2.62-2.66
Sc  0.3684  0.6539  0.4016  2 Co 2.62-2.66
Sc  0.0332  0.1539  0.4016  2 Co 2.62-2.66
Sc  0.6316  0.3461  0.5984  2 Co 2.62-2.66
Co  0.5000  0.0000  0.5000  2 Sc 2.29
Co  0.0000  0.5000  0.5000  2 Sc 2.29
Sn  0.8265  0.7500  0.0000  6 Sc 2.98-3.05
Sn  0.1735  0.2500  0.0000  6 Sc 2.98-3.05

Summary:
- Energy: -76.2 eV/cell
- DOS at the Fermi energy: 5.6 states/eV/f.u.
- Magnetic moment: 0.00 μB per formula unit
- Energy above the lowest structure with this stoichiometry: 137.9 meV/atom
- ΔH_f (0 K): -279 meV/atom



No. 8
Sc8CoSn2 | PBE | relaxed

Unit cell a=5.0457 b=6.5154 c=8.3890 alpha=112.85 beta=107.50 gamma=90.00
Closest atoms and distances in Å follow each position.
Positions (direct):
Sc  0.3780  0.6152  0.7560  1 Co 2.47
Sc  0.6223  0.8600  0.2445  1 Co 2.47
Sc  0.8122  0.8118  0.6244  4 Sn 3.13-3.26, 8 Sc 3.17-3.20
Sc  0.0000  0.2429  0.9999  2 Co 2.98, 7 Sc 3.09-3.17, 2 Sn 3.19
Sc  0.1878  0.1882  0.3756  4 Sn 3.13-3.26, 8 Sc 3.17-3.20
Sc  0.3777  0.1400  0.7555  1 Co 2.47
Sc  0.6220  0.3848  0.2440  1 Co 2.47
Sc  0.0000  0.7571  0.0001  2 Co 2.98, 7 Sc 3.09-3.17, 2 Sn 3.19
Co  0.5000  0.0000  0.0000  4 Sc 2.47
Sn  0.8142  0.3141  0.6284  12 Sc 3.10-3.29
Sn  0.1858  0.6859  0.3716  12 Sc 3.10-3.29

Summary:
- Energy: -69.8 eV/cell
- DOS at the Fermi energy: 14.2 states/eV/f.u.
- Magnetic moment: 0.00 μB per formula unit
- ΔH_f (0 K): -366 meV/atom



No. 9
ScTaCoSn2 | PBE | relaxed

Unit cell a=4.8112 b=4.5501 c=4.8112 alpha=90.00 beta=90.00 gamma=90.00
Closest atoms and distances in Å follow each position.
Positions (direct):
Sc  0.0000  0.5000  0.0000  2 Co 2.28
Co  0.0000  0.0000  0.0000  2 Sc 2.28, 4 Sn 2.41
Sn  0.0000  0.0000  0.5000  2 Co 2.41
Sn  0.5000  0.0000  0.0000  2 Co 2.41
Ta  0.5000  0.5000  0.5000  8 Sn 3.31, 4 Sc 3.40

Summary:
- Energy: -31.0 eV/cell
- DOS at the Fermi energy: 7.2 states/eV/f.u.
- Magnetic moment: 0.00 μB per formula unit
- ΔH_f (0 K): 469 meV/atom



No. 10
ScCoSn2Te | PBE | relaxed

Unit cell a=4.8331 b=5.1315 c=4.8331 alpha=90.00 beta=90.00 gamma=90.00
Closest atoms and distances in Å follow each position.
Positions (direct):
Sc  0.0000  0.5000  0.0000  2 Co 2.57
Te  0.5000  0.5000  0.5000  4 Sc 3.42, 8 Sn 3.52
Co  0.0000  0.0000  0.0000  4 Sn 2.42, 2 Sc 2.57
Sn  0.0000  0.0000  0.5000  2 Co 2.42
Sn  0.5000  0.0000  0.0000  2 Co 2.42

Summary:
- Energy: -25.9 eV/cell
- DOS at the Fermi energy: 2.5 states/eV/f.u.
- Magnetic moment: 0.00 μB per formula unit
- Formation energy from raw total energies: -0.256 eV/atom



No. 11
Sc2CoSnW | PBE | relaxed

Unit cell a=5.0831 b=4.4482 c=5.0831 alpha=90.00 beta=90.00 gamma=90.00
Closest atoms and distances in Å follow each position.
Positions (direct):
Sc  0.0000  0.0000  0.5000  2 W 2.54
Sc  0.5000  0.0000  0.0000  2 W 2.54
Co  0.0000  0.5000  0.0000  2 W 2.22
Sn  0.5000  0.5000  0.5000  8 Sc 3.38, 4 Co 3.59
W  0.0000  0.0000  0.0000  2 Co 2.22

Summary:
- Energy: -33.5 eV/cell
- DOS at the Fermi energy: 4.3 states/eV/f.u.
- Magnetic moment: 0.00 μB per formula unit
- ΔH_f (0 K): 654 meV/atom



No. 12
ScZnCoSn | PBE | relaxed

Unit cell a=4.5182 b=4.5182 c=4.5182 alpha=60.00 beta=60.00 gamma=60.00
Closest atoms and distances in Å follow each position.
Positions (direct):
Sc  0.0000  0.0000  0.0000  4 Zn 2.77, 4 Co 2.77
Zn  0.7500  0.7500  0.7500  4 Sn 2.77, 4 Sc 2.77
Co  0.2500  0.2500  0.2500  4 Sc 2.77, 4 Sn 2.77
Sn  0.5000  0.5000  0.5000  4 Co 2.77, 4 Zn 2.77

Summary:
- Energy: -19.7 eV/cell
- DOS at the Fermi energy: 2.2 states/eV/f.u.
- Magnetic moment: 0.08 μB per formula unit
- ΔH_f (0 K): -244 meV/atom